Computed, not measured: a relaxed Fe2ReSiAs crystal at the PBE level of DFT.

Properties
The crystal system is tetragonal. The total moment comes out at 5.4 Bohr magnetons per cell. As for the formation energy (no corrections): 1.326 eV/atom. As for the symmetry: P4/mmm (123).

Cell lengths 4.705, 4.643, 4.705 Å; angles 90.00, 90.00, 90.00 degrees
Site moments in Bohr magnetons follow the coordinates.
Fractional positions:
1 Re 0.000 0.000 0.000  -0.17
2 As 0.000 0.500 0.000  0.09
3 Si 0.500 0.500 0.500  -0.12
4 Fe 0.000 0.000 0.500  2.95
5 Fe 0.500 0.000 0.000  2.65